# KTa3Au, relaxed, DFT PBE-GGA
# ΔE to the lowest computed polymorph in eV per atom: 0.957
# Density of states at the Fermi level in states/eV/cell: 7.1
data_KTa3Au
_symmetry_space_group_name_H-M 'P m -3 m'
_symmetry_Int_Tables_number 221
_symmetry_space_group_name_Hall '-P 4 2 3'
_cell_length_a 4.599
_cell_length_b 4.599
_cell_length_c 4.599
_cell_angle_alpha 90.00
_cell_angle_beta 90.00
_cell_angle_gamma 90.00
loop_
_atom_site_label
_atom_site_type_symbol
_atom_site_fract_x
_atom_site_fract_y
_atom_site_fract_z
_atom_site_occupancy
K1 K 0.000 0.000 0.000 1
Ta1 Ta 0.000 0.000 0.500 1
Au1 Au 0.500 0.500 0.500 1

***

# KTa2Au, relaxed, DFT PBE-GGA
# ΔE to the lowest computed polymorph in eV per atom: 0.075
# Density of states at the Fermi level in states/eV/cell: 4.1
data_KTa2Au
_symmetry_space_group_name_H-M 'P 4 m m'
_symmetry_Int_Tables_number 99
_symmetry_space_group_name_Hall 'P 4 -2'
_cell_length_a 3.332
_cell_length_b 3.332
_cell_length_c 8.901
_cell_angle_alpha 90.00
_cell_angle_beta 90.00
_cell_angle_gamma 90.00
loop_
_atom_site_label
_atom_site_type_symbol
_atom_site_fract_x
_atom_site_fract_y
_atom_site_fract_z
_atom_site_occupancy
K1 K 0.000 0.000 0.000 1
Ta1 Ta 0.000 0.000 0.525 1
Ta2 Ta 0.500 0.500 0.364 1
Au1 Au 0.500 0.500 0.714 1

***

# K2TaAu, relaxed, DFT PBE-GGA
# ΔE to the lowest computed polymorph in eV per atom: 0.381
# Density of states at the Fermi level in states/eV/cell: 6.7
data_K2TaAu
_symmetry_space_group_name_H-M 'C 1 2/m 1'
_symmetry_Int_Tables_number 12
_symmetry_space_group_name_Hall '-C 2y'
_cell_length_a 6.139
_cell_length_b 12.218
_cell_length_c 2.878
_cell_angle_alpha 90.00
_cell_angle_beta 115.24
_cell_angle_gamma 90.00
loop_
_atom_site_label
_atom_site_type_symbol
_atom_site_fract_x
_atom_site_fract_y
_atom_site_fract_z
_atom_site_occupancy
K1 K 0.250 0.250 0.000 1
Ta1 Ta 0.000 0.000 0.500 1
Au1 Au 0.000 0.500 0.500 1

***

# K3TaAu, relaxed, DFT PBE-GGA
# ΔE to the lowest computed polymorph in eV per atom: 0.218
# Density of states at the Fermi level in states/eV/cell: 1.2
data_K3TaAu
_symmetry_space_group_name_H-M 'P m -3 m'
_symmetry_Int_Tables_number 221
_symmetry_space_group_name_Hall '-P 4 2 3'
_cell_length_a 6.569
_cell_length_b 6.569
_cell_length_c 6.569
_cell_angle_alpha 90.00
_cell_angle_beta 90.00
_cell_angle_gamma 90.00
loop_
_atom_site_label
_atom_site_type_symbol
_atom_site_fract_x
_atom_site_fract_y
_atom_site_fract_z
_atom_site_occupancy
K1 K 0.000 0.000 0.500 1
Ta1 Ta 0.000 0.000 0.000 1
Au1 Au 0.500 0.500 0.500 1

***

# KTaAu4, relaxed, DFT PBE-GGA
# Total energy in eV/atom: -3.888
# Density of states at the Fermi level in states/eV/cell: 24.3
data_KTaAu4
_symmetry_space_group_name_H-M 'F -4 3 m'
_symmetry_Int_Tables_number 216
_symmetry_space_group_name_Hall 'F -4 2 3'
_cell_length_a 7.946
_cell_length_b 7.946
_cell_length_c 7.946
_cell_angle_alpha 90.00
_cell_angle_beta 90.00
_cell_angle_gamma 90.00
loop_
_atom_site_label
_atom_site_type_symbol
_atom_site_fract_x
_atom_site_fract_y
_atom_site_fract_z
_atom_site_occupancy
K1 K 0.000 0.000 0.000 1
Ta1 Ta 0.250 0.250 0.750 1
Au1 Au 0.125 0.125 0.375 1

***

# K2TaTe4Au, relaxed, DFT PBE-GGA
# Formation energy from raw total energies in eV/atom: -0.61
data_K2TaTe4Au
_symmetry_space_group_name_H-M 'F d d d'
_symmetry_Int_Tables_number 70
_cell_length_a 6.170
_cell_length_b 14.655
_cell_length_c 26.586
_cell_angle_alpha 90.00
_cell_angle_beta 90.00
_cell_angle_gamma 90.00
loop_
_symmetry_equiv_pos_as_xyz
'x,y,z'
'-x,-y,-z'
'-x+1/4,-y+1/4,z'
'x+1/4,y+1/4,-z'
'x,-y+1/4,-z+1/4'
'-x,y+1/4,z+1/4'
'-x+1/4,y,-z+1/4'
'x+1/4,-y,z+1/4'
'x,y+1/2,z+1/2'
'-x,-y+1/2,-z+1/2'
'-x+1/4,-y+3/4,z+1/2'
'x+1/4,y+3/4,-z+1/2'
'x,-y+3/4,-z+3/4'
'-x,y+3/4,z+3/4'
'-x+1/4,y+1/2,-z+3/4'
'x+1/4,-y+1/2,z+3/4'
'x+1/2,y,z+1/2'
'-x+1/2,-y,-z+1/2'
'-x+3/4,-y+1/4,z+1/2'
'x+3/4,y+1/4,-z+1/2'
'x+1/2,-y+1/4,-z+3/4'
'-x+1/2,y+1/4,z+3/4'
'-x+3/4,y,-z+3/4'
'x+3/4,-y,z+3/4'
'x+1/2,y+1/2,z'
'-x+1/2,-y+1/2,-z'
'-x+3/4,-y+3/4,z'
'x+3/4,y+3/4,-z'
'x+1/2,-y+3/4,-z+1/4'
'-x+1/2,y+3/4,z+1/4'
'-x+3/4,y+1/2,-z+1/4'
'x+3/4,-y+1/2,z+1/4'
loop_
_atom_site_label
_atom_site_type_symbol
_atom_site_fract_x
_atom_site_fract_y
_atom_site_fract_z
_atom_site_occupancy
K1 K 0.125 0.125 0.312 1
Ta1 Ta 0.125 0.125 0.625 1
Te1 Te 0.108 0.269 0.815 1
Au1 Au 0.125 0.125 0.125 1